Entry 1:
Entry from Alexandria: LaMg2ZnHg4 after structural relaxation (PBE-GGA).

Values from the calculation:
- Raw total energy: -1.5895 eV per atom
- Space-group type: R-3m (166)
- Crystal system: trigonal

a b c (Å): 9.487 9.487 9.487
angles (deg): 29.92 29.92 29.92
Sites, in units of the cell vectors:
La 0.000 0.000 0.000
Mg 0.241 0.241 0.241
Mg 0.759 0.759 0.759
Zn 0.500 0.500 0.500
Hg 0.127 0.127 0.127
Hg 0.390 0.390 0.390
Hg 0.610 0.610 0.610
Hg 0.873 0.873 0.873

Entry 2:
Entry from Alexandria: BaU2NiS5 after structural relaxation (PBE-GGA).

Values from the calculation:
- Raw formation energy: -1.433 eV per atom
- Space-group type: I4/mcm (140)
- Crystal system: tetragonal

a b c (Å): 8.503 8.503 8.503
angles (deg): 127.33 127.33 77.71
Sites, in units of the cell vectors:
Ba 0.250 0.250 0.000
Ba 0.750 0.750 0.000
U 0.157 0.657 0.815
U 0.343 0.157 0.500
U 0.657 0.843 0.500
U 0.843 0.343 0.185
Ni 0.250 0.750 0.500
Ni 0.750 0.250 0.500
S 0.000 0.000 0.000
S 0.018 0.220 0.500
S 0.220 0.720 0.203
S 0.280 0.482 0.500
S 0.482 0.982 0.203
S 0.500 0.500 0.000
S 0.518 0.018 0.797
S 0.720 0.518 0.500
S 0.780 0.280 0.797
S 0.982 0.780 0.500

Entry 3:
Entry from Alexandria: Sc4CoPt after structural relaxation (PBE-GGA).

Values from the calculation:
- ΔE to the lowest computed polymorph: 0.000 eV per atom
- Space-group type: C2/c (15)
- Crystal system: monoclinic

a b c (Å): 7.321 7.321 5.623
angles (deg): 106.49 106.49 112.00
Sites, in units of the cell vectors:
Sc 0.054 0.702 0.909
Sc 0.228 0.357 0.704
Sc 0.298 0.946 0.591
Sc 0.357 0.228 0.204
Sc 0.643 0.772 0.796
Sc 0.702 0.054 0.409
Sc 0.772 0.643 0.296
Sc 0.946 0.298 0.091
Co 0.000 0.000 0.250
Co 0.000 0.000 0.750
Pt 0.363 0.637 0.250
Pt 0.637 0.363 0.750